1.
Compound: Ge3MoP
Source: Alexandria
Functional: PBE
Structure: optimized geometry

a = 4.6237 Å, b = 4.6237 Å, c = 4.6237 Å
α = 90.00°, β = 90.00°, γ = 90.00°
Space group Pm-3m (No. 221)
Unique sites:
Ge (0.0000, 0.0000, 0.5000) (multiplicity 3)
Mo (0.5000, 0.5000, 0.5000) (multiplicity 1)
P (0.0000, 0.0000, 0.0000) (multiplicity 1)

Results
density: 5.79 g/cm3
energy: -4.79 eV per atom
energy of formation from the pure elements: 1.22 eV per atom

2.
Compound: Tl2HPdCl
Source: Alexandria
Functional: PBE
Structure: optimized geometry

a = 5.5833 Å, b = 5.5833 Å, c = 3.5513 Å
α = 90.00°, β = 90.00°, γ = 90.00°
Space group P4/mmm (No. 123)
Unique sites:
Tl (0.0000, 0.5000, 0.0000) (multiplicity 2)
H (0.0000, 0.0000, 0.5000) (multiplicity 1)
Pd (0.0000, 0.0000, 0.0000) (multiplicity 1)
Cl (0.5000, 0.5000, 0.5000) (multiplicity 1)

Results
density: 8.27 g/cm3
energy: -3.40 eV per atom

3.
Compound: SrCo2Cu
Source: Alexandria
Functional: PBE
Structure: optimized geometry

a = 5.4717 Å, b = 8.2268 Å, c = 2.9196 Å
α = 90.00°, β = 90.00°, γ = 90.00°
Space group Cmmm (No. 65)
Unique sites:
Sr (0.0000, 0.0000, 0.0000) (multiplicity 2)
Co (0.2500, 0.2500, 0.5000) (multiplicity 4)
Cu (0.0000, 0.5000, 0.0000) (multiplicity 2)

Results
density: 6.80 g/cm3
energy: -4.18 eV per atom
energy of formation from the pure elements: 0.82 eV per atom